# 1
## LiLaNi2 (PBE)

Data for crystalline LiLaNi2 at its relaxed geometry.

Structure (POSCAR):
```
LiLaNi2
1.0
2.889 -3.307 0.000
2.889 3.307 0.000
-0.017 0.000 3.608
Li La Ni
1 1 2
Direct
0.000 0.000 0.000
0.500 0.500 0.000
0.000 0.500 0.500
0.500 0.000 0.500
```

Properties
Energy above the most stable polymorph in this dataset   115.4 meV per atom
Energy relative to the elements   -0.04 eV per atom
Calculated volume   17.2 Å³ per atom
Mass density   6.34 Mg/m³

---

# 2
## Ni4Se3S (PBE)

Data for crystalline Ni4Se3S at its relaxed geometry.

Structure (POSCAR):
```
Ni4Se3S
1.0
7.077 0.000 0.000
0.000 6.275 0.000
0.000 0.000 6.032
Ni Se S
8 6 2
Direct
0.000 0.087 0.000
0.000 0.838 0.401
0.192 0.701 0.000
0.308 0.299 0.500
0.500 0.162 0.901
0.500 0.913 0.500
0.692 0.299 0.500
0.808 0.701 0.000
0.000 0.204 0.363
0.220 0.345 0.863
0.280 0.655 0.363
0.500 0.796 0.863
0.720 0.655 0.363
0.780 0.345 0.863
0.000 0.835 0.762
0.500 0.165 0.262
```

Properties
Calculated volume   16.7 Å³ per atom
Energy relative to the elements, uncorrected   -282 meV per atom
Mass density   6.24 Mg/m³

---

How do the records compare in uncorrected energy? In the order shown, they have -4.64; -4.99 eV/atom.